[1]
The following is a DFT calculation (PBE-GGA) of a relaxed CdCuPt2 crystal.

Values from the calculation:
The total magnetic moment comes out at 0.00 μB/cell. The calculation puts the electronic total energy at -4.428 eV per atom. The formation energy comes out at -0.62 eV per formula unit. Its space-group type is R-3m (166). Its volume is 15.81 Å³ per atom.

The structure in POSCAR format:
```
CdCuPt2
1.0
-7.8050 -1.9715 -4.1149
-6.0029 -2.5050 -6.2791
-6.5259 -4.5286 -4.3176
Cu Pt Cd
1 2 1
Direct
0.7500 0.7500 0.7500 Cu
0.0055 0.0055 0.0055 Pt
0.4945 0.4945 0.4945 Pt
0.2500 0.2500 0.2500 Cd
```

[2]
The following is a DFT calculation (PBE-GGA) of a relaxed HfMgOs4 crystal.

Values from the calculation:
The total magnetic moment comes out at 0.00 μB/cell. The calculation puts the electronic total energy at -9.489 eV per atom. The formation energy comes out at -0.47 eV per formula unit. Its space-group type is F-43m (216). Its volume is 16.65 Å³ per atom.

The structure in POSCAR format:
```
HfMgOs4
1.0
-4.4201 -0.5757 -2.6931
-3.7928 -3.0561 1.8429
-4.4197 2.1133 1.7668
Os Mg Hf
4 1 1
Direct
0.6252 0.6252 0.1244 Os
0.6252 0.6252 0.6252 Os
0.1244 0.6252 0.6252 Os
0.6252 0.1244 0.6252 Os
0.0000 0.0000 0.0000 Mg
0.2500 0.2500 0.2500 Hf
```

[3]
The following is a DFT calculation (PBE-GGA) of a relaxed PmDy2Er6Tm crystal.

Values from the calculation:
The total magnetic moment comes out at 0.00 μB/cell. The calculation puts the electronic total energy at -4.460 eV per atom. The formation energy comes out at 1.21 eV per formula unit. Its space-group type is C2/c (15). Its volume is 31.49 Å³ per atom.

The structure in POSCAR format:
```
PmDy2Er6Tm
1.0
9.0129 -2.0039 -2.0795
0.8213 8.4382 -1.9923
0.8213 -2.3036 8.3586
Er Pm Tm Dy
12 2 2 4
Direct
0.6183 0.4926 0.7086 Er
0.0574 0.1253 0.7491 Er
0.4426 0.2509 0.8747 Er
0.1839 0.5678 0.0183 Er
0.8161 0.4322 0.9817 Er
0.5574 0.7491 0.1253 Er
0.9426 0.8747 0.2509 Er
0.1183 0.7086 0.4926 Er
0.8817 0.2914 0.5074 Er
0.6839 0.0183 0.5678 Er
0.3161 0.9817 0.4322 Er
0.3817 0.5074 0.2914 Er
0.7500 0.0240 0.9760 Pm
0.2500 0.9760 0.0240 Pm
0.7500 0.5907 0.4093 Tm
0.2500 0.4093 0.5907 Tm
0.5458 0.1983 0.3042 Dy
0.9542 0.6958 0.8017 Dy
0.0458 0.3042 0.1983 Dy
0.4542 0.8017 0.6958 Dy
```

[4]
The following is a DFT calculation (PBE-GGA) of a relaxed ScRe3 crystal.

Values from the calculation:
The total magnetic moment comes out at 0.00 μB/cell. The calculation puts the electronic total energy at -10.716 eV per atom. The formation energy comes out at 0.81 eV per formula unit. Its space-group type is P-6m2 (187). Its volume is 16.13 Å³ per atom. For the excess energy over the best structure of this formula in the dataset, the calculation gives 108 kJ/mol of formula units.

The structure in POSCAR format:
```
ScRe3
1.0
-0.8250 1.5930 -2.1952
-8.7376 -2.8357 1.2259
0.0133 1.0903 2.6169
Re Sc
3 1
Direct
0.0000 0.4843 0.0000 Re
0.6667 0.2500 0.3333 Re
0.0000 0.0157 0.0000 Re
0.6667 0.7500 0.3333 Sc
```

Repeat the fourth record exactly.
The following is a DFT calculation (PBE-GGA) of a relaxed ScRe3 crystal.

Values from the calculation:
The total magnetic moment comes out at 0.00 μB/cell. The calculation puts the electronic total energy at -10.716 eV per atom. The formation energy comes out at 0.81 eV per formula unit. Its space-group type is P-6m2 (187). Its volume is 16.13 Å³ per atom. For the excess energy over the best structure of this formula in the dataset, the calculation gives 108 kJ/mol of formula units.

The structure in POSCAR format:
```
ScRe3
1.0
-0.8250 1.5930 -2.1952
-8.7376 -2.8357 1.2259
0.0133 1.0903 2.6169
Re Sc
3 1
Direct
0.0000 0.4843 0.0000 Re
0.6667 0.2500 0.3333 Re
0.0000 0.0157 0.0000 Re
0.6667 0.7500 0.3333 Sc
```

Q: Look up the total magnetic moment of the first one.
A: 0.00 μB/cell